(1)
PBE YAgS2, relaxed; magnetization = 0.0 μB per formula unit; ΔE_f (raw) = -30.638 kcal/mol of atoms; V = 94.9 Å³/f.u.; space group = No. 12; theoretical density = 4567 kg/m³
1.0
6.999 -0.015 0.004
-3.391 6.995 0.000
0.000 1.174 3.880
S Y Ag
4 2 2
Direct
0.211 0.594 0.012 S
0.667 0.156 0.231 S
0.167 0.159 0.729 S
0.711 0.598 0.510 S
0.439 0.374 0.122 Y
0.939 0.379 0.619 Y
0.944 0.787 0.916 Ag
0.434 0.966 0.826 Ag

***

(2)
PBE Na2AlCl, relaxed; magnetization = 0.0 μB per formula unit; ΔE_f (raw) = -4.202 kcal/mol of atoms; V = 109.6 Å³/f.u.; space group = No. 225; theoretical density = 1643 kg/m³
1.0
4.013 2.240 2.780
-1.085 3.280 4.113
0.993 -1.587 5.035
Na Cl Al
2 1 1
Direct
0.750 0.750 0.750 Na
0.250 0.250 0.250 Na
0.500 0.500 0.500 Cl
0.000 0.000 0.000 Al

***

(3)
PBE KRe2Te, relaxed; magnetization = 0.0 μB per formula unit; ΔE_f (raw) = 34.417 kcal/mol of atoms; V = 80.5 Å³/f.u.; space group = No. 47; theoretical density = 11118 kg/m³
1.0
3.275 0.000 0.000
0.000 4.615 0.000
0.000 0.000 5.327
Re Te K
2 1 1
Direct
0.000 0.000 0.000 Re
0.500 0.500 0.000 Re
0.500 0.000 0.500 Te
0.000 0.500 0.500 K

***

(4)
PBE Tl2SiPt, relaxed; magnetization = 0.0 μB per formula unit; ΔE_f (raw) = 8.511 kcal/mol of atoms; V = 88.9 Å³/f.u.; space group = No. 10; theoretical density = 11800 kg/m³
1.0
-1.134 3.519 -0.579
-4.042 -1.136 1.015
-1.262 0.555 5.844
Si Pt Tl
1 1 2
Direct
0.500 0.750 0.750 Si
0.500 0.250 0.250 Pt
0.000 0.014 0.005 Tl
0.000 0.486 0.495 Tl

***

Q: What is the formula in the fourth record?
A: Tl2SiPt

***

Q: Among the records above, which one has the lowest theoretical density?
A: Na2AlCl